Record 1
## MgNi2H2 (GGA-PBE)

Data for crystalline MgNi2H2 at its relaxed geometry.

Cell: 3.2144 3.2144 4.8686 Å, 70.72 70.72 90.00°
Atoms (fractional coordinates):
1 Ni 0.3273 0.3273 0.3455
2 Ni 0.6727 0.6727 0.6545
3 H 0.7500 0.2500 0.5000
4 H 0.2500 0.7500 0.5000
5 Mg 0.0000 0.0000 0.0000

Summary:
raw total energy	-4.1232	eV per atom

=====

Record 2
## TbReTc (GGA-PBE)

Data for crystalline TbReTc at its relaxed geometry.

Cell: 4.3337 5.7143 5.6719 Å, 77.98 67.54 67.72°
Atoms (fractional coordinates):
1 Tb 0.9342 0.8181 0.3135
2 Tb 0.0658 0.1819 0.6865
3 Re 0.3436 0.5802 0.7327
4 Re 0.6564 0.4198 0.2673
5 Tc 0.3320 0.2488 0.0871
6 Tc 0.6680 0.7512 0.9129

Summary:
E_form	-0.063	eV/atom
raw total energy	-9.2112	eV per atom

=====

Record 3
## YIn2Hg8 (GGA-PBE)

Data for crystalline YIn2Hg8 at its relaxed geometry.

Cell: 4.7655 7.3755 8.6921 Å, 107.66 105.91 90.00°
Atoms (fractional coordinates):
1 Hg 0.6745 0.9032 0.3491
2 Hg 0.3255 0.0968 0.6509
3 Hg 0.0379 0.7325 0.0757
4 Hg 0.5920 0.4539 0.1841
5 Hg 0.1422 0.1791 0.2844
6 Hg 0.8578 0.8209 0.7156
7 Hg 0.9621 0.2675 0.9243
8 Hg 0.4080 0.5461 0.8159
9 In 0.2259 0.6459 0.4518
10 In 0.7741 0.3541 0.5482
11 Y 0.5000 0.0000 0.0000

Summary:
E_form	-0.113	eV/atom
raw total energy	-1.4176	eV per atom

=====

Record 4
## BiTePbI2 (GGA-PBE)

Data for crystalline BiTePbI2 at its relaxed geometry.

Cell: 6.0343 6.0343 6.1264 Å, 90.00 90.00 90.00°
Atoms (fractional coordinates):
1 Bi 0.0000 0.0000 0.0000
2 I 0.5000 0.0000 0.0000
3 I 0.0000 0.5000 0.0000
4 Te 0.0000 0.0000 0.5000
5 Pb 0.5000 0.5000 0.5000

Summary:
raw total energy	-2.6430	eV per atom
formation energy without anion corrections	0.6	eV/f.u.

=====

Record 5
## LaCeCdPd (GGA-PBE)

Data for crystalline LaCeCdPd at its relaxed geometry.

Cell: 5.3162 5.3162 5.3162 Å, 60.00 60.00 60.00°
Atoms (fractional coordinates):
1 Ce 0.2500 0.2500 0.2500
2 Cd 0.0000 0.0000 0.0000
3 Pd 0.5000 0.5000 0.5000
4 La 0.7500 0.7500 0.7500

Summary:
E_form	-0.372	eV/atom
raw total energy	-4.6138	eV per atom

=====

Record 6
## HoAlGaPd3 (GGA-PBE)

Data for crystalline HoAlGaPd3 at its relaxed geometry.

Cell: 5.5960 6.6009 6.9313 Å, 118.44 90.00 90.00°
Atoms (fractional coordinates):
1 Al 0.7500 0.0538 0.1075
2 Al 0.2500 0.9462 0.8925
3 Ho 0.2500 0.6983 0.3966
4 Ho 0.7500 0.3017 0.6034
5 Pd 0.7500 0.8414 0.6828
6 Pd 0.0000 0.7074 0.0000
7 Pd 0.0000 0.2926 0.0000
8 Pd 0.5000 0.2926 0.0000
9 Pd 0.5000 0.7074 0.0000
10 Pd 0.2500 0.1586 0.3172
11 Ga 0.2500 0.3620 0.7241
12 Ga 0.7500 0.6380 0.2759

Summary:
E_form	-0.651	eV/atom
raw total energy	-5.1389	eV per atom

=====

Record 7
## PdBrO2F (GGA-PBE)

Data for crystalline PdBrO2F at its relaxed geometry.

Cell: 4.0556 4.1178 4.0556 Å, 90.00 90.00 90.00°
Atoms (fractional coordinates):
1 F 0.0000 0.5000 0.0000
2 O 0.5000 0.0000 0.0000
3 O 0.0000 0.0000 0.5000
4 Br 0.5000 0.5000 0.5000
5 Pd 0.0000 0.0000 0.0000

Summary:
raw total energy	-3.5914	eV per atom
formation energy without anion corrections	0.7	eV/f.u.

=====

Record 8
## Ta4Ni5 (GGA-PBE)

Data for crystalline Ta4Ni5 at its relaxed geometry.

Cell: 7.5626 7.5626 5.1597 Å, 90.00 90.00 120.00°
Atoms (fractional coordinates):
1 Ta 0.0000 0.6564 0.7500
2 Ta 0.0000 0.3436 0.2500
3 Ta 0.0000 0.0000 0.0000
4 Ta 0.6564 0.6564 0.2500
5 Ta 0.0000 0.0000 0.5000
6 Ta 0.3436 0.3436 0.7500
7 Ta 0.3436 0.0000 0.2500
8 Ta 0.6564 0.0000 0.7500
9 Ni 0.3333 0.6667 0.0000
10 Ni 0.0000 0.6663 0.2500
11 Ni 0.6663 0.6663 0.7500
12 Ni 0.6663 0.0000 0.2500
13 Ni 0.6667 0.3333 0.0000
14 Ni 0.3337 0.3337 0.2500
15 Ni 0.6667 0.3333 0.5000
16 Ni 0.3333 0.6667 0.5000
17 Ni 0.0000 0.3337 0.7500
18 Ni 0.3337 0.0000 0.7500

Summary:
E_form	-0.116	eV/atom
raw total energy	-8.5958	eV per atom